Run A
First-principles (PBE) data for a relaxed AcNd4In crystal, as listed in the Alexandria database.

CIF file:
```
data_AcNd4In
_symmetry_space_group_name_H-M 'P 1'
_symmetry_Int_Tables_number 1
_symmetry_space_group_name_Hall 'P 1'
_cell_length_a 5.601
_cell_length_b 7.126
_cell_length_c 6.832
_cell_angle_alpha 99.12
_cell_angle_beta 65.80
_cell_angle_gamma 66.86
loop_
_atom_site_label
_atom_site_fract_x
_atom_site_fract_y
_atom_site_fract_z
Nd1 0.351 0.295 0.004
Nd2 0.649 0.705 0.996
Nd3 0.865 0.839 0.432
Nd4 0.135 0.161 0.568
In1 0.000 0.000 0.000
Ac1 0.500 0.500 0.500
```

Run B
First-principles (PBE) data for a relaxed AcNd4In crystal, as listed in the Alexandria database.

CIF file:
```
data_AcNd4In
_symmetry_space_group_name_H-M 'P 1'
_symmetry_Int_Tables_number 1
_symmetry_space_group_name_Hall 'P 1'
_cell_length_a 3.791
_cell_length_b 3.791
_cell_length_c 14.607
_cell_angle_alpha 90.00
_cell_angle_beta 90.00
_cell_angle_gamma 90.00
loop_
_atom_site_label
_atom_site_fract_x
_atom_site_fract_y
_atom_site_fract_z
Nd1 0.500 0.500 0.812
Nd2 0.000 0.000 0.640
Nd3 0.500 0.500 0.188
Nd4 0.000 0.000 0.360
In1 0.500 0.500 0.500
Ac1 0.000 0.000 0.000
```

Of them, run B has the highest stability.

Run A
First-principles (PBE) data for a relaxed AcNd2In crystal, as listed in the Alexandria database.

CIF file:
```
data_AcNd2In
_symmetry_space_group_name_H-M 'P 1'
_symmetry_Int_Tables_number 1
_symmetry_space_group_name_Hall 'P 1'
_cell_length_a 5.665
_cell_length_b 7.191
_cell_length_c 13.740
_cell_angle_alpha 90.00
_cell_angle_beta 90.00
_cell_angle_gamma 90.00
loop_
_atom_site_label
_atom_site_fract_x
_atom_site_fract_y
_atom_site_fract_z
Nd1 0.750 0.119 0.557
Nd2 0.750 0.381 0.057
Nd3 0.250 0.619 0.943
Nd4 0.750 0.389 0.800
Nd5 0.250 0.881 0.443
Nd6 0.250 0.889 0.700
Nd7 0.750 0.111 0.300
Nd8 0.250 0.611 0.200
Ac1 0.250 0.094 0.124
Ac2 0.750 0.906 0.876
Ac3 0.250 0.406 0.624
Ac4 0.750 0.594 0.376
In1 0.250 0.311 0.379
In2 0.250 0.189 0.879
In3 0.750 0.811 0.121
In4 0.750 0.689 0.621
```

Run B
First-principles (PBE) data for a relaxed AcNd2In crystal, as listed in the Alexandria database.

CIF file:
```
data_AcNd2In
_symmetry_space_group_name_H-M 'P 1'
_symmetry_Int_Tables_number 1
_symmetry_space_group_name_Hall 'P 1'
_cell_length_a 5.081
_cell_length_b 5.123
_cell_length_c 5.123
_cell_angle_alpha 90.00
_cell_angle_beta 90.00
_cell_angle_gamma 90.00
loop_
_atom_site_label
_atom_site_fract_x
_atom_site_fract_y
_atom_site_fract_z
Nd1 0.000 0.000 0.500
Nd2 0.000 0.500 0.000
In1 0.500 0.000 0.000
Ac1 0.500 0.500 0.500
```

Of them, run B has the highest stability.

Run A
First-principles (PBE) data for a relaxed Ac2NdIn crystal, as listed in the Alexandria database.

CIF file:
```
data_Ac2NdIn
_symmetry_space_group_name_H-M 'P 1'
_symmetry_Int_Tables_number 1
_symmetry_space_group_name_Hall 'P 1'
_cell_length_a 5.163
_cell_length_b 5.266
_cell_length_c 5.266
_cell_angle_alpha 90.00
_cell_angle_beta 90.00
_cell_angle_gamma 90.00
loop_
_atom_site_label
_atom_site_fract_x
_atom_site_fract_y
_atom_site_fract_z
Ac1 0.000 0.000 0.500
Ac2 0.000 0.500 0.000
In1 0.500 0.000 0.000
Nd1 0.500 0.500 0.500
```

Run B
First-principles (PBE) data for a relaxed Ac2NdIn crystal, as listed in the Alexandria database.

CIF file:
```
data_Ac2NdIn
_symmetry_space_group_name_H-M 'P 1'
_symmetry_Int_Tables_number 1
_symmetry_space_group_name_Hall 'P 1'
_cell_length_a 5.168
_cell_length_b 5.058
_cell_length_c 12.024
_cell_angle_alpha 90.00
_cell_angle_beta 102.70
_cell_angle_gamma 90.00
loop_
_atom_site_label
_atom_site_fract_x
_atom_site_fract_y
_atom_site_fract_z
Ac1 0.575 0.250 0.147
Ac2 0.935 0.250 0.873
Ac3 0.425 0.750 0.853
Ac4 0.065 0.750 0.127
Nd1 0.700 0.750 0.395
Nd2 0.300 0.250 0.605
In1 0.827 0.750 0.663
In2 0.173 0.250 0.337
```

Of them, run A has the highest stability.

Run A
First-principles (PBE) data for a relaxed Ac2NdIn crystal, as listed in the Alexandria database.

CIF file:
```
data_Ac2NdIn
_symmetry_space_group_name_H-M 'P 1'
_symmetry_Int_Tables_number 1
_symmetry_space_group_name_Hall 'P 1'
_cell_length_a 5.913
_cell_length_b 5.913
_cell_length_c 5.913
_cell_angle_alpha 60.00
_cell_angle_beta 60.00
_cell_angle_gamma 60.00
loop_
_atom_site_label
_atom_site_fract_x
_atom_site_fract_y
_atom_site_fract_z
In1 0.500 0.500 0.500
Nd1 0.000 0.000 0.000
Ac1 0.750 0.750 0.750
Ac2 0.250 0.250 0.250
```

Run B
First-principles (PBE) data for a relaxed Ac2NdIn crystal, as listed in the Alexandria database.

CIF file:
```
data_Ac2NdIn
_symmetry_space_group_name_H-M 'P 1'
_symmetry_Int_Tables_number 1
_symmetry_space_group_name_Hall 'P 1'
_cell_length_a 3.937
_cell_length_b 3.937
_cell_length_c 9.750
_cell_angle_alpha 90.00
_cell_angle_beta 90.00
_cell_angle_gamma 90.00
loop_
_atom_site_label
_atom_site_fract_x
_atom_site_fract_y
_atom_site_fract_z
Ac1 0.000 0.000 0.775
Ac2 0.000 0.000 0.225
Nd1 0.500 0.500 0.500
In1 0.500 0.500 0.000
```

Of them, run B has the highest stability.

Run A
First-principles (PBE) data for a relaxed AcNd2In2 crystal, as listed in the Alexandria database.

CIF file:
```
data_AcNd2In2
_symmetry_space_group_name_H-M 'P 1'
_symmetry_Int_Tables_number 1
_symmetry_space_group_name_Hall 'P 1'
_cell_length_a 3.683
_cell_length_b 3.637
_cell_length_c 12.492
_cell_angle_alpha 81.63
_cell_angle_beta 90.00
_cell_angle_gamma 90.00
loop_
_atom_site_label
_atom_site_fract_x
_atom_site_fract_y
_atom_site_fract_z
In1 0.500 0.599 0.801
In2 0.500 0.401 0.199
Ac1 0.000 0.000 0.000
Nd1 0.000 0.184 0.632
Nd2 0.000 0.816 0.368
```

Run B
First-principles (PBE) data for a relaxed AcNd2In2 crystal, as listed in the Alexandria database.

CIF file:
```
data_AcNd2In2
_symmetry_space_group_name_H-M 'P 1'
_symmetry_Int_Tables_number 1
_symmetry_space_group_name_Hall 'P 1'
_cell_length_a 7.235
_cell_length_b 8.986
_cell_length_c 9.409
_cell_angle_alpha 72.02
_cell_angle_beta 67.46
_cell_angle_gamma 36.38
loop_
_atom_site_label
_atom_site_fract_x
_atom_site_fract_y
_atom_site_fract_z
Ac1 0.842 0.750 0.317
Ac2 0.158 0.250 0.683
Nd1 0.519 0.250 0.961
Nd2 0.702 0.250 0.594
Nd3 0.481 0.750 0.039
Nd4 0.298 0.750 0.406
In1 0.085 0.250 0.244
In2 0.915 0.750 0.756
In3 0.328 0.750 0.757
In4 0.672 0.250 0.243
```

Of them, run B has the highest stability.

Run A
First-principles (PBE) data for a relaxed Ac4NdIn crystal, as listed in the Alexandria database.

CIF file:
```
data_Ac4NdIn
_symmetry_space_group_name_H-M 'P 1'
_symmetry_Int_Tables_number 1
_symmetry_space_group_name_Hall 'P 1'
_cell_length_a 7.131
_cell_length_b 7.131
_cell_length_c 7.131
_cell_angle_alpha 60.00
_cell_angle_beta 60.00
_cell_angle_gamma 60.00
loop_
_atom_site_label
_atom_site_fract_x
_atom_site_fract_y
_atom_site_fract_z
Nd1 0.250 0.250 0.250
Ac1 0.625 0.625 0.625
Ac2 0.124 0.625 0.625
Ac3 0.625 0.625 0.124
Ac4 0.625 0.124 0.625
In1 0.000 0.000 0.000
```

Run B
First-principles (PBE) data for a relaxed Ac4NdIn crystal, as listed in the Alexandria database.

CIF file:
```
data_Ac4NdIn
_symmetry_space_group_name_H-M 'P 1'
_symmetry_Int_Tables_number 1
_symmetry_space_group_name_Hall 'P 1'
_cell_length_a 9.418
_cell_length_b 9.418
_cell_length_c 9.418
_cell_angle_alpha 99.80
_cell_angle_beta 99.80
_cell_angle_gamma 131.27
loop_
_atom_site_label
_atom_site_fract_x
_atom_site_fract_y
_atom_site_fract_z
Ac1 0.229 0.988 0.241
Ac2 0.243 0.527 0.284
Ac3 0.747 0.988 0.759
Ac4 0.738 0.997 0.259
Ac5 0.710 0.493 0.216
Ac6 0.277 0.493 0.784
Ac7 0.243 0.960 0.716
Ac8 0.738 0.479 0.741
Nd1 0.991 0.491 0.500
Nd2 0.241 0.241 0.000
In1 0.796 0.796 0.000
In2 0.546 0.046 0.500
```

Of them, run A has the highest stability.